(one)
Computed, not measured: Ag4BrCl3 after structural relaxation at the PBE-GGA level of DFT.

Cell and atoms, written as extended XYZ:
```
8
Lattice="-3.320 -1.366 1.781 2.779 1.341 6.210 -1.616 6.458 1.941" Properties=species:S:1:pos:R:3 pbc="T T T"
Br -1.884 6.441 5.939
Ag -2.419 4.450 7.922
Ag 0.024 1.962 6.059
Ag -3.056 0.615 3.793
Ag -2.181 4.471 3.874
Cl 0.310 3.890 8.070
Cl -3.312 -1.357 1.782
Cl 0.574 3.891 4.075
```

SG   C2, No. 5

(two)
Computed, not measured: Ag4BrCl3 after structural relaxation at the PBE-GGA level of DFT.

Cell and atoms, written as extended XYZ:
```
16
Lattice="6.983 0.000 0.000 0.000 7.522 0.000 0.000 0.000 8.698" Properties=species:S:1:pos:R:3 pbc="T T T"
Ag 0.880 6.188 0.000
Ag 4.270 1.213 0.000
Ag 0.899 2.538 2.218
Ag 4.390 4.984 2.131
Ag 0.779 6.308 4.349
Ag 4.371 1.334 4.349
Ag 4.390 4.984 6.567
Ag 0.899 2.538 6.479
Br 0.027 1.244 0.000
Br 3.519 6.278 4.349
Cl 3.520 6.230 0.000
Cl 0.043 5.013 2.186
Cl 3.534 2.509 2.163
Cl 0.029 1.292 4.349
Cl 3.534 2.509 6.535
Cl 0.043 5.013 6.511
```

SG   Pmn2_1, No. 31

The calculated energies rank the structures as follows, beginning with the most stable: (two), (one).

(one)
Computed, not measured: Ag2BrCl6 after structural relaxation at the PBE-GGA level of DFT.

Cell and atoms, written as extended XYZ:
```
18
Lattice="-7.518 1.910 0.295 -1.521 -2.882 -8.780 -2.245 -7.809 4.658" Properties=species:S:1:pos:R:3 pbc="T T T"
Ag -3.548 -7.882 -2.466
Ag -4.035 -2.251 -0.428
Ag -7.736 -0.899 -1.361
Ag -7.248 -6.530 -3.399
Br -3.492 -3.028 -7.007
Br -7.791 -5.753 3.180
Cl -4.827 -5.971 -3.109
Cl -2.635 -3.340 -2.026
Cl -6.456 -2.810 -0.718
Cl -8.649 -5.442 -1.801
Cl -8.051 -2.188 1.816
Cl -7.280 -7.606 -0.129
Cl -3.232 -6.593 -5.643
Cl -4.004 -1.175 -3.698
Cl -8.708 -0.547 -6.318
Cl -5.799 -3.637 -7.295
Cl -2.575 -8.234 2.491
Cl -5.484 -5.144 3.468
```

SG   C2/c, No. 15

(two)
Computed, not measured: Ag2BrCl6 after structural relaxation at the PBE-GGA level of DFT.

Cell and atoms, written as extended XYZ:
```
18
Lattice="-0.576 -2.313 -7.670 6.258 -5.401 0.702 -4.190 -6.893 1.937" Properties=species:S:1:pos:R:3 pbc="T T T"
Ag 0.624 -9.542 -0.544
Ag -0.149 -4.095 -0.498
Ag 0.868 -5.066 -4.487
Ag 1.641 -10.512 -4.534
Br -3.992 -7.423 -0.021
Br 5.484 -7.184 -5.010
Cl 0.964 -8.819 -2.797
Cl 0.307 -6.935 -6.077
Cl 0.528 -5.788 -2.234
Cl 1.185 -7.672 1.046
Cl 4.117 -9.106 -4.988
Cl 3.672 -5.717 -4.657
Cl -2.625 -5.502 -0.043
Cl -2.180 -8.890 -0.374
Cl 4.436 -4.479 -0.879
Cl 4.885 -7.894 -1.209
Cl -2.944 -10.128 -4.152
Cl -3.393 -6.713 -3.822
```

SG   C2/c, No. 15

The calculated energies rank the structures as follows, beginning with the most stable: (one), (two).